1.
# LiCoP2O7 (SCAN, PBEsol geometry)
# Spin magnetization (Bohr magnetons per cell): 0.001
# Energy relative to the lowest polymorph listed for this composition (meV/atom): 4
# ΔE_f (raw) (eV/atom): -2.2423
data_LiCoP2O7
_cell_length_a 4.675
_cell_length_b 7.715
_cell_length_c 6.822
_cell_angle_alpha 90.00
_cell_angle_beta 107.98
_cell_angle_gamma 90.00
_space_group_name_H-M_alt 'P 1 21 1'
_space_group_IT_number 4
loop_
_space_group_symop_operation_xyz
'x,y,z'
'-x,y+1/2,-z'
loop_
_atom_site_label
_atom_site_type_symbol
_atom_site_fract_x
_atom_site_fract_y
_atom_site_fract_z
Li1 Li 0.171 0.000 0.187
Co1 Co 0.218 0.626 0.228
P1 P 0.212 0.905 0.593
P2 P 0.398 0.306 0.013
O1 O 0.070 0.442 0.346
O2 O 0.119 0.811 0.385
O3 O 0.169 0.159 0.968
O4 O 0.259 0.486 0.008
O5 O 0.393 0.811 0.120
O6 O 0.400 0.067 0.587
O7 O 0.411 0.764 0.753

***

2.
# Li2CoP2O7 (SCAN, PBEsol geometry)
# Spin magnetization (Bohr magnetons per cell): 3.972
# Energy relative to the lowest polymorph listed for this composition (meV/atom): 49
# ΔE_f (raw) (eV/atom): -2.2978
data_Li2CoP2O7
_cell_length_a 5.990
_cell_length_b 12.991
_cell_length_c 7.204
_cell_angle_alpha 90.00
_cell_angle_beta 90.00
_cell_angle_gamma 90.00
_space_group_name_H-M_alt 'I m m a'
_space_group_IT_number 74
_space_group_name_Hall '-I 2b 2'
loop_
_atom_site_label
_atom_site_type_symbol
_atom_site_fract_x
_atom_site_fract_y
_atom_site_fract_z
Li1 Li 0.250 0.026 0.250
Co1 Co 0.250 0.250 0.250
P1 P 0.000 0.143 0.547
O1 O 0.000 0.057 0.687
O2 O 0.000 0.250 0.660
O3 O 0.213 0.143 0.425